Material: Ca2MgHg2
Method: DFT, PBE
State: optimized geometry

Computed properties:
Energy of formation from the pure elements in eV per atom: -0.16

The structure in POSCAR format:
```
Ca2MgHg2
1.0
-2.150 2.150 8.493
2.150 -2.150 8.493
2.150 2.150 -8.493
Ca Mg Hg
2 1 2
Direct
0.107 0.107 0.000 Ca
0.893 0.893 0.000 Ca
0.500 0.500 0.000 Mg
0.250 0.750 0.500 Hg
0.750 0.250 0.500 Hg
```

---

Material: Ca2Mg6Hg3
Method: DFT, PBE
State: optimized geometry

Computed properties:
Energy of formation from the pure elements in eV per atom: -0.20

The structure in POSCAR format:
```
Ca2Mg6Hg3
1.0
8.464 0.000 0.000
-4.232 7.330 0.000
0.000 0.000 4.606
Ca Mg Hg
2 6 3
Direct
0.333 0.667 0.000 Ca
0.667 0.333 0.000 Ca
0.000 0.208 0.000 Mg
0.000 0.730 0.500 Mg
0.208 0.000 0.000 Mg
0.270 0.270 0.500 Mg
0.730 0.000 0.500 Mg
0.792 0.792 0.000 Mg
0.000 0.403 0.500 Hg
0.403 0.000 0.500 Hg
0.597 0.597 0.500 Hg
```

---

Material: Ca3MgHg2
Method: DFT, PBE
State: optimized geometry

Computed properties:
Energy of formation from the pure elements in eV per atom: -0.40

The structure in POSCAR format:
```
Ca3MgHg2
1.0
3.862 0.000 0.000
0.000 3.862 0.000
0.000 0.000 11.395
Ca Mg Hg
3 1 2
Direct
0.000 0.000 0.000 Ca
0.000 0.000 0.319 Ca
0.000 0.000 0.681 Ca
0.500 0.500 0.500 Mg
0.500 0.500 0.166 Hg
0.500 0.500 0.834 Hg
```

---

Material: Ca3Mg5Hg12
Method: DFT, PBE
State: optimized geometry

Computed properties:
Energy of formation from the pure elements in eV per atom: -0.04

The structure in POSCAR format:
```
Ca3Mg5Hg12
1.0
-8.531 8.531 8.531
8.531 -8.531 8.531
8.531 8.531 -8.531
Ca Mg Hg
12 20 48
Direct
0.125 0.250 0.375 Ca
0.125 0.375 0.750 Ca
0.250 0.375 0.125 Ca
0.250 0.875 0.625 Ca
0.375 0.125 0.250 Ca
0.375 0.750 0.125 Ca
0.625 0.250 0.875 Ca
0.625 0.875 0.750 Ca
0.750 0.125 0.375 Ca
0.750 0.625 0.875 Ca
0.875 0.625 0.250 Ca
0.875 0.750 0.625 Ca
0.000 0.000 0.000 Mg
0.000 0.000 0.500 Mg
0.000 0.500 0.000 Mg
0.000 0.500 0.500 Mg
0.125 0.750 0.875 Mg
0.125 0.875 0.250 Mg
0.250 0.125 0.875 Mg
0.250 0.625 0.375 Mg
0.375 0.250 0.625 Mg
0.375 0.625 0.750 Mg
0.500 0.000 0.000 Mg
0.500 0.000 0.500 Mg
0.500 0.500 0.000 Mg
0.500 0.500 0.500 Mg
0.625 0.375 0.250 Mg
0.625 0.750 0.375 Mg
0.750 0.375 0.625 Mg
0.750 0.875 0.125 Mg
0.875 0.125 0.750 Mg
0.875 0.250 0.125 Mg
0.054 0.221 0.134 Hg
0.054 0.333 0.921 Hg
0.079 0.634 0.412 Hg
0.079 0.946 0.667 Hg
0.088 0.721 0.667 Hg
0.088 0.866 0.421 Hg
0.134 0.054 0.221 Hg
0.134 0.579 0.912 Hg
0.167 0.221 0.588 Hg
0.167 0.446 0.579 Hg
0.221 0.134 0.054 Hg
0.221 0.588 0.167 Hg
0.279 0.333 0.912 Hg
0.279 0.446 0.366 Hg
0.333 0.912 0.279 Hg
0.333 0.921 0.054 Hg
0.366 0.279 0.446 Hg
0.366 0.588 0.921 Hg
0.412 0.079 0.634 Hg
0.412 0.833 0.779 Hg
0.421 0.088 0.866 Hg
0.421 0.833 0.554 Hg
0.446 0.366 0.279 Hg
0.446 0.579 0.167 Hg
0.554 0.421 0.833 Hg
0.554 0.634 0.721 Hg
0.579 0.167 0.446 Hg
0.579 0.912 0.134 Hg
0.588 0.167 0.221 Hg
0.588 0.921 0.366 Hg
0.634 0.412 0.079 Hg
0.634 0.721 0.554 Hg
0.667 0.079 0.946 Hg
0.667 0.088 0.721 Hg
0.721 0.554 0.634 Hg
0.721 0.667 0.088 Hg
0.779 0.412 0.833 Hg
0.779 0.866 0.946 Hg
0.833 0.554 0.421 Hg
0.833 0.779 0.412 Hg
0.866 0.421 0.088 Hg
0.866 0.946 0.779 Hg
0.912 0.134 0.579 Hg
0.912 0.279 0.333 Hg
0.921 0.054 0.333 Hg
0.921 0.366 0.588 Hg
0.946 0.667 0.079 Hg
0.946 0.779 0.866 Hg
```

---

Material: CaMg5Hg3
Method: DFT, PBE
State: optimized geometry

Computed properties:
Energy of formation from the pure elements in eV per atom: -0.22

The structure in POSCAR format:
```
CaMg5Hg3
1.0
1.867 -7.703 0.000
1.867 7.703 0.000
0.000 0.000 15.209
Ca Mg Hg
2 10 6
Direct
0.157 0.843 0.750 Ca
0.843 0.157 0.250 Ca
0.000 0.000 0.000 Mg
0.000 0.000 0.500 Mg
0.195 0.805 0.065 Mg
0.195 0.805 0.435 Mg
0.452 0.548 0.652 Mg
0.452 0.548 0.848 Mg
0.548 0.452 0.152 Mg
0.548 0.452 0.348 Mg
0.805 0.195 0.565 Mg
0.805 0.195 0.935 Mg
0.163 0.837 0.250 Hg
0.377 0.623 0.073 Hg
0.377 0.623 0.427 Hg
0.623 0.377 0.573 Hg
0.623 0.377 0.927 Hg
0.837 0.163 0.750 Hg
```

---

Material: CaMg3Hg2
Method: DFT, PBE
State: optimized geometry

Computed properties:
Energy of formation from the pure elements in eV per atom: -0.28

The structure in POSCAR format:
```
CaMg3Hg2
1.0
9.538 -2.215 0.000
9.538 2.215 0.000
-3.290 0.000 10.655
Ca Mg Hg
3 9 6
Direct
0.000 0.000 0.000 Ca
0.155 0.155 0.707 Ca
0.845 0.845 0.293 Ca
0.044 0.044 0.341 Mg
0.211 0.211 0.401 Mg
0.319 0.319 0.025 Mg
0.378 0.378 0.790 Mg
0.500 0.500 0.500 Mg
0.622 0.622 0.210 Mg
0.681 0.681 0.975 Mg
0.789 0.789 0.599 Mg
0.956 0.956 0.659 Mg
0.204 0.204 0.145 Hg
0.361 0.361 0.518 Hg
0.460 0.460 0.202 Hg
0.540 0.540 0.798 Hg
0.639 0.639 0.482 Hg
0.796 0.796 0.855 Hg
```

---

Material: Ca2MgHg2
Method: DFT, PBE
State: optimized geometry

Computed properties:
Energy of formation from the pure elements in eV per atom: -0.24

The structure in POSCAR format:
```
Ca2MgHg2
1.0
-3.030 3.030 4.214
3.030 -3.030 4.214
3.030 3.030 -4.214
Ca Mg Hg
2 1 2
Direct
0.250 0.750 0.500 Ca
0.750 0.250 0.500 Ca
0.000 0.000 0.000 Mg
0.335 0.335 0.000 Hg
0.665 0.665 0.000 Hg
```

---

Material: Ca2MgHg8
Method: DFT, PBE
State: optimized geometry

Computed properties:
Energy of formation from the pure elements in eV per atom: -0.30

The structure in POSCAR format:
```
Ca2MgHg8
1.0
4.748 0.000 0.000
0.000 4.748 0.000
0.000 0.000 12.628
Ca Mg Hg
2 1 8
Direct
0.000 0.000 0.187 Ca
0.000 0.000 0.813 Ca
0.000 0.000 0.500 Mg
0.000 0.500 0.000 Hg
0.000 0.500 0.367 Hg
0.000 0.500 0.633 Hg
0.500 0.000 0.000 Hg
0.500 0.000 0.367 Hg
0.500 0.000 0.633 Hg
0.500 0.500 0.182 Hg
0.500 0.500 0.818 Hg
```

---

Material: Ca2Mg5Hg3
Method: DFT, PBE
State: optimized geometry

Computed properties:
Energy of formation from the pure elements in eV per atom: -0.29

The structure in POSCAR format:
```
Ca2Mg5Hg3
1.0
2.322 -14.132 0.000
2.322 14.132 0.000
0.000 0.000 7.604
Ca Mg Hg
4 10 6
Direct
0.021 0.979 0.500 Ca
0.321 0.679 0.428 Ca
0.679 0.321 0.928 Ca
0.979 0.021 0.000 Ca
0.100 0.900 0.131 Mg
0.207 0.793 0.229 Mg
0.210 0.790 0.622 Mg
0.371 0.629 0.955 Mg
0.442 0.558 0.327 Mg
0.558 0.442 0.827 Mg
0.629 0.371 0.455 Mg
0.790 0.210 0.122 Mg
0.793 0.207 0.729 Mg
0.900 0.100 0.631 Mg
0.114 0.886 0.739 Hg
0.267 0.733 0.926 Hg
0.458 0.542 0.713 Hg
0.542 0.458 0.213 Hg
0.733 0.267 0.426 Hg
0.886 0.114 0.239 Hg
```

---

Material: Ca2MgHg6
Method: DFT, PBE
State: optimized geometry

Computed properties:
Energy of formation from the pure elements in eV per atom: -0.31

The structure in POSCAR format:
```
Ca2MgHg6
1.0
7.269 0.000 0.000
0.000 6.676 0.000
-5.629 0.000 9.697
Ca Mg Hg
4 2 12
Direct
0.162 0.008 0.225 Ca
0.162 0.492 0.725 Ca
0.838 0.508 0.275 Ca
0.838 0.992 0.775 Ca
0.000 0.000 0.500 Mg
0.000 0.500 0.000 Mg
0.277 0.208 0.008 Hg
0.277 0.292 0.508 Hg
0.314 0.514 0.276 Hg
0.314 0.986 0.776 Hg
0.339 0.727 0.026 Hg
0.339 0.773 0.526 Hg
0.661 0.227 0.474 Hg
0.661 0.273 0.974 Hg
0.686 0.014 0.224 Hg
0.686 0.486 0.724 Hg
0.723 0.708 0.492 Hg
0.723 0.792 0.992 Hg
```

---

Material: CaMg2Hg7
Method: DFT, PBE
State: optimized geometry

Computed properties:
Energy of formation from the pure elements in eV per atom: -0.07

The structure in POSCAR format:
```
CaMg2Hg7
1.0
4.141 -7.736 0.000
4.141 7.736 0.000
0.000 0.000 4.684
Ca Mg Hg
1 2 7
Direct
0.000 0.000 0.000 Ca
0.312 0.688 0.500 Mg
0.688 0.312 0.500 Mg
0.071 0.304 0.500 Hg
0.214 0.786 0.000 Hg
0.304 0.071 0.500 Hg
0.500 0.500 0.500 Hg
0.696 0.929 0.500 Hg
0.786 0.214 0.000 Hg
0.929 0.696 0.500 Hg
```

---

Material: Ca3Mg2Hg
Method: DFT, PBE
State: optimized geometry

Computed properties:
Energy of formation from the pure elements in eV per atom: -0.24

The structure in POSCAR format:
```
Ca3Mg2Hg
1.0
3.922 0.000 0.000
0.000 3.922 0.000
0.000 0.000 11.551
Ca Mg Hg
3 2 1
Direct
0.000 0.000 0.000 Ca
0.000 0.000 0.346 Ca
0.000 0.000 0.654 Ca
0.500 0.500 0.171 Mg
0.500 0.500 0.829 Mg
0.500 0.500 0.500 Hg
```

---

Material: CaMg2Hg2
Method: DFT, PBE
State: optimized geometry

Computed properties:
Energy of formation from the pure elements in eV per atom: -0.26

The structure in POSCAR format:
```
CaMg2Hg2
1.0
8.420 0.000 0.000
0.000 8.420 0.000
0.000 0.000 3.354
Ca Mg Hg
2 4 4
Direct
0.000 0.000 0.000 Ca
0.500 0.500 0.000 Ca
0.125 0.375 0.000 Mg
0.375 0.875 0.000 Mg
0.625 0.125 0.000 Mg
0.875 0.625 0.000 Mg
0.174 0.674 0.500 Hg
0.326 0.174 0.500 Hg
0.674 0.826 0.500 Hg
0.826 0.326 0.500 Hg
```

---

Material: Ca2MgHg2
Method: DFT, PBE
State: optimized geometry

Computed properties:
Energy of formation from the pure elements in eV per atom: -0.42

The structure in POSCAR format:
```
Ca2MgHg2
1.0
8.031 0.000 0.000
0.000 8.031 0.000
0.000 0.000 4.327
Ca Mg Hg
4 2 4
Direct
0.165 0.335 0.000 Ca
0.335 0.835 0.000 Ca
0.665 0.165 0.000 Ca
0.835 0.665 0.000 Ca
0.000 0.000 0.500 Mg
0.500 0.500 0.500 Mg
0.138 0.638 0.500 Hg
0.362 0.138 0.500 Hg
0.638 0.862 0.500 Hg
0.862 0.362 0.500 Hg
```

---

Material: Ca2MgHg4
Method: DFT, PBE
State: optimized geometry

Computed properties:
Energy of formation from the pure elements in eV per atom: -0.20

The structure in POSCAR format:
```
Ca2MgHg4
1.0
-2.620 2.620 7.973
2.620 -2.620 7.973
2.620 2.620 -7.973
Ca Mg Hg
2 1 4
Direct
0.123 0.123 0.000 Ca
0.877 0.877 0.000 Ca
0.500 0.500 0.000 Mg
0.000 0.500 0.500 Hg
0.319 0.319 0.000 Hg
0.500 0.000 0.500 Hg
0.681 0.681 0.000 Hg
```

---

Material: Ca2Mg3Hg4
Method: DFT, PBE
State: optimized geometry

Computed properties:
Energy of formation from the pure elements in eV per atom: -0.35

The structure in POSCAR format:
```
Ca2Mg3Hg4
1.0
4.382 -2.530 0.000
4.382 2.530 0.000
-0.011 0.000 9.825
Ca Mg Hg
2 3 4
Direct
0.168 0.168 0.220 Ca
0.832 0.832 0.780 Ca
0.166 0.166 0.581 Mg
0.500 0.500 0.000 Mg
0.834 0.834 0.419 Mg
0.166 0.166 0.904 Hg
0.499 0.499 0.651 Hg
0.501 0.501 0.349 Hg
0.834 0.834 0.096 Hg
```

---

Material: Ca2MgHg2
Method: DFT, PBE
State: optimized geometry

Computed properties:
Energy of formation from the pure elements in eV per atom: -0.42

The structure in POSCAR format:
```
Ca2MgHg2
1.0
-2.293 3.348 4.554
2.293 -3.348 4.554
2.293 3.348 -4.554
Ca Mg Hg
2 1 2
Direct
0.204 0.204 0.000 Ca
0.796 0.796 0.000 Ca
0.500 0.000 0.500 Mg
0.228 0.500 0.728 Hg
0.772 0.500 0.272 Hg
```

---

Material: CaMgHg2
Method: DFT, PBE
State: optimized geometry

Computed properties:
Energy of formation from the pure elements in eV per atom: -0.13

The structure in POSCAR format:
```
CaMgHg2
1.0
-2.448 2.448 9.794
2.448 -2.448 9.794
2.448 2.448 -9.794
Ca Mg Hg
2 2 4
Direct
0.000 0.000 0.000 Ca
0.750 0.250 0.500 Ca
0.250 0.750 0.500 Mg
0.500 0.500 0.000 Mg
0.181 0.625 0.056 Hg
0.375 0.431 0.556 Hg
0.569 0.125 0.944 Hg
0.875 0.819 0.444 Hg
```

---

| no. | spin magnetization (Bohr magnetons per cell) | mass density (Mg/m³) |
| --- | --- | --- |
| 1 | 0.000 | 5.3 |
| 2 | 0.000 | 4.8 |
| 3 | 0.000 | 5.3 |
| 4 | 0.000 | 7.1 |
| 5 | 0.000 | 5.8 |
| 6 | 0.000 | 5.7 |
| 7 | 0.000 | 5.4 |
| 8 | 0.000 | 10.0 |
| 9 | 0.000 | 5.3 |
| 10 | 0.000 | 9.2 |
| 11 | 0.000 | 8.3 |
| 12 | 0.000 | 3.5 |
| 13 | 0.000 | 6.8 |
| 14 | 0.000 | 6.0 |
| 15 | 0.000 | 6.9 |
| 16 | 0.000 | 7.3 |
| 17 | 0.000 | 6.0 |
| 18 | 0.000 | 6.6 |